[1]
## BaCu3Ge3 (PBE)

Data for an optimized crystal structure of BaCu3Ge3.

a = 6.770 Å, b = 6.770 Å, c = 6.770 Å
α = 90.00°, β = 90.00°, γ = 90.00°
Space group Pm-3n (No. 223)
One atom of each set of equivalent atoms:
Ba1 0.000 0.000 0.000 [2 per cell]
Cu1 0.000 0.250 0.500 [6 per cell]
Ge1 0.000 0.500 0.250 [6 per cell]

Computed properties:
ΔE to the lowest computed polymorph ... 0.00 kcal/mol of atoms
ΔE_f ... -0.064 eV per atom

[2]
## Ba3Cu2Ge3 (PBE)

Data for an optimized crystal structure of Ba3Cu2Ge3.

a = 4.284 Å, b = 12.937 Å, c = 15.909 Å
α = 90.00°, β = 90.00°, γ = 90.00°
Space group Cmcm (No. 63)
One atom of each set of equivalent atoms:
Ba1 0.000 0.065 0.103 [8 per cell]
Ba2 0.000 0.355 0.250 [4 per cell]
Cu1 0.000 0.241 0.605 [8 per cell]
Ge1 0.000 0.323 0.039 [8 per cell]
Ge2 0.000 0.338 0.750 [4 per cell]

Computed properties:
ΔE_f ... -0.352 eV per atom

[3]
## BaCu3Ge3 (PBE)

Data for an optimized crystal structure of BaCu3Ge3.

a = 6.8213 Å, b = 6.8213 Å, c = 23.0993 Å
α = 90.00°, β = 90.00°, γ = 120.00°
Space group R-3 (No. 148, hexagonal axes)
One atom of each set of equivalent atoms:
Ba1 0.0000 0.0000 0.1816 [6 per cell]
Cu1 0.0279 0.2295 0.3767 [18 per cell]
Ge1 0.0594 0.2705 0.9462 [18 per cell]

Computed properties:
ΔE to the lowest computed polymorph ... 2.20 kcal/mol of atoms
ΔE_f ... 0.031 eV per atom